A plane-wave DFT calculation with GGA+U was carried out for a relaxed CaAcMnO4 crystal.

a = 3.878 Å, b = 3.878 Å, c = 7.023 Å
α = 106.03°, β = 106.03°, γ = 90.00°
Atoms (fractional coordinates):
Mn (0.990, 0.990, 0.979)
O (0.499, 0.999, 0.998)
O (0.999, 0.499, 0.998)
O (0.830, 0.830, 0.660)
O (0.177, 0.177, 0.354)
Ca (0.359, 0.359, 0.719)
Ac (0.646, 0.646, 0.291)

Computed properties:
**Uncorrected energy**: -7.38 eV/atom
**Total moment**: 4.00 μB per cell